Computed, not measured: crystalline Ac12ErCo7 at its relaxed geometry at the GGA-PBE level of DFT.

a b c (Å): 9.2407 9.2407 9.2407
angles (deg): 107.51 107.51 107.51
Element x y z (fractional)
Ac (0.9241, 0.3156, 0.7801)
Ac (0.6844, 0.2199, 0.0759)
Ac (0.4446, 0.1537, 0.3703)
Ac (0.8463, 0.6297, 0.5554)
Ac (0.2199, 0.0759, 0.6844)
Ac (0.6297, 0.5554, 0.8463)
Ac (0.3703, 0.4446, 0.1537)
Ac (0.7801, 0.9241, 0.3156)
Ac (0.1537, 0.3703, 0.4446)
Ac (0.5554, 0.8463, 0.6297)
Ac (0.3156, 0.7801, 0.9241)
Ac (0.0759, 0.6844, 0.2199)
Er (0.0000, 0.0000, 0.0000)
Co (0.9803, 0.6586, 0.8858)
Co (0.3414, 0.1142, 0.0197)
Co (0.1142, 0.0197, 0.3414)
Co (0.5000, 0.5000, 0.5000)
Co (0.8858, 0.9803, 0.6586)
Co (0.6586, 0.8858, 0.9803)
Co (0.0197, 0.3414, 0.1142)



Computed, not measured: crystalline AcErCoIr at its relaxed geometry at the GGA-PBE level of DFT.

a b c (Å): 4.9965 4.9965 4.9965
angles (deg): 60.00 60.00 60.00
Each line ends with the local moment (μB).
Element x y z (fractional)
Ac (0.2500, 0.2500, 0.2500)  -0.08
Ir (0.0000, 0.0000, 0.0000)  0.07
Co (0.5000, 0.5000, 0.5000)  0.91
Er (0.7500, 0.7500, 0.7500)  -0.16



Computed, not measured: crystalline AcErCoNi at its relaxed geometry at the GGA-PBE level of DFT.

a b c (Å): 4.9383 4.9383 4.9383
angles (deg): 60.00 60.00 60.00
Element x y z (fractional)
Ni (0.2500, 0.2500, 0.2500)
Ac (0.5000, 0.5000, 0.5000)
Co (0.7500, 0.7500, 0.7500)
Er (0.0000, 0.0000, 0.0000)



Number 1: raw total energy -104.0 eV per formula unit. Number 2: raw total energy -25.7 eV per formula unit. Number 3: raw total energy -21.8 eV per formula unit.